# 1
TbSc3Ni (PBE, relaxed); total magnetization = 0.00 μB/cell; ΔH_f (0 K) = -88 meV per atom; mass density = 4.8 Mg/m³
1.0
-1.568 -3.130 -3.535
4.079 -2.775 0.648
-2.379 -2.694 3.441
Sc Ni Tb
3 1 1
direct
0.000 0.000 0.500 Sc
0.000 0.500 0.000 Sc
0.500 0.000 0.000 Sc
0.000 0.000 0.000 Ni
0.500 0.500 0.500 Tb

# 2
Sc4TlPtO (PBE, relaxed); total magnetization = 0.00 μB/cell; raw formation energy = -1.274 eV per atom; mass density = 7.3 Mg/m³
1.0
-2.388 0.296 -5.654
2.445 -5.491 -1.321
-4.789 -3.380 5.185
Sc Pt Tl O
8 2 2 2
direct
0.940 0.250 0.879 Sc
0.500 0.000 0.500 Sc
0.000 0.500 0.500 Sc
0.000 0.000 0.500 Sc
0.413 0.750 0.826 Sc
0.060 0.750 0.121 Sc
0.500 0.500 0.500 Sc
0.587 0.250 0.174 Sc
0.878 0.750 0.757 Pt
0.122 0.250 0.243 Pt
0.390 0.250 0.781 Tl
0.610 0.750 0.219 Tl
0.256 0.750 0.511 O
0.744 0.250 0.489 O

# 3
Rb2NaSi (PBE, relaxed); total magnetization = 0.00 μB/cell; raw formation energy = 0.540 eV per atom; mass density = 2.2 Mg/m³
1.0
-2.192 4.701 -0.502
-2.821 -1.744 -4.019
-11.577 -1.914 5.579
Na Rb Si
2 4 2
direct
0.500 0.500 0.000 Na
0.250 0.750 0.500 Na
0.875 0.884 0.750 Rb
0.375 0.366 0.750 Rb
0.116 0.625 0.250 Rb
0.634 0.125 0.250 Rb
0.750 0.250 0.500 Si
0.000 0.000 0.000 Si

# 4
ZnH (PBE, relaxed); total magnetization = 0.00 μB/cell; mass density = 4.3 Mg/m³
1.0
-2.810 4.626 -5.943
1.736 -7.724 -1.397
-2.583 -0.703 0.674
H Zn
6 6
direct
0.683 0.826 0.750 H
0.317 0.174 0.250 H
0.826 0.143 0.250 H
0.143 0.317 0.750 H
0.174 0.857 0.750 H
0.857 0.683 0.250 H
0.643 0.018 0.750 Zn
0.374 0.357 0.750 Zn
0.018 0.374 0.250 Zn
0.982 0.626 0.750 Zn
0.357 0.982 0.250 Zn
0.626 0.643 0.250 Zn

| no. | raw total energy (eV per atom) |
| --- | --- |
| 1 | -5.97 |
| 2 | -6.80 |
| 3 | -1.63 |
| 4 | -2.09 |